A plane-wave DFT calculation with PBE-GGA was carried out for an optimized crystal structure of NaTl6S8.

abc: 11.2091 11.2091 11.2871
angles: 90.00 90.00 120.00
Space group R-3 (No. 148, hexagonal axes)
Asymmetric unit:
Na (0.0000, 0.0000, 0.0000) (multiplicity 3)
Tl (0.0450, 0.2539, 0.6378) (multiplicity 18)
S (0.0000, 0.0000, 0.3299) (multiplicity 6)
S (0.0395, 0.2684, 0.1307) (multiplicity 18)

Properties
E_form (uncorrected): -155 meV/atom
size of the total moment: 0.00 μB/cell

A plane-wave DFT calculation with PBE-GGA was carried out for an optimized crystal structure of Ti2NbCoH.

abc: 4.340 4.340 3.344
angles: 90.00 90.00 90.00
Space group P4/mmm (No. 123)
Asymmetric unit:
Ti (0.000, 0.500, 0.000) (multiplicity 2)
Nb (0.000, 0.000, 0.500) (multiplicity 1)
Co (0.500, 0.500, 0.500) (multiplicity 1)
H (0.500, 0.500, 0.000) (multiplicity 1)

Properties
size of the total moment: 0.30 μB/cell
final energy: -7.436 eV per atom

A plane-wave DFT calculation with PBE-GGA was carried out for an optimized crystal structure of Ca3MgNp3N8.

abc: 6.7713 6.7713 16.8852
angles: 90.00 90.00 120.00
Space group R-3m (No. 166, hexagonal axes)
Asymmetric unit:
Ca (0.0000, 0.5000, 0.0000) (multiplicity 9)
Mg (0.0000, 0.0000, 0.5000) (multiplicity 3)
Np (0.0000, 0.5000, 0.5000) (multiplicity 9)
N (0.0000, 0.0000, 0.2426) (multiplicity 6)
N (0.0104, 0.5052, 0.7692) (multiplicity 18)

Properties
E_form (uncorrected): -970 meV/atom
size of the total moment: 15.00 μB/cell

A plane-wave DFT calculation with PBE-GGA was carried out for an optimized crystal structure of RbInAu4.

abc: 8.202 8.202 8.202
angles: 90.00 90.00 90.00
Space group F-43m (No. 216)
Asymmetric unit:
Rb (0.000, 0.000, 0.000) (multiplicity 4)
In (0.250, 0.250, 0.750) (multiplicity 4)
Au (0.125, 0.125, 0.375) (multiplicity 16)

Properties
DFT formation energy: -0.0755 eV per atom
size of the total moment: 0.00 μB/cell

A plane-wave DFT calculation with PBE-GGA was carried out for an optimized crystal structure of Tl2CdPd2.

abc: 3.831 3.831 16.302
angles: 90.00 90.00 90.00
Space group I4/mmm (No. 139)
Asymmetric unit:
Tl (0.000, 0.000, 0.119) (multiplicity 4)
Cd (0.000, 0.000, 0.500) (multiplicity 2)
Pd (0.000, 0.500, 0.250) (multiplicity 4)

Properties
DFT formation energy: 0.0287 eV per atom
size of the total moment: 0.00 μB/cell

A plane-wave DFT calculation with PBE-GGA was carried out for an optimized crystal structure of TaTlHg2.

abc: 3.2023 3.2023 30.4532
angles: 90.00 90.00 120.00
Space group R-3m (No. 166, hexagonal axes)
Asymmetric unit:
Ta (0.0000, 0.0000, 0.0000) (multiplicity 3)
Tl (0.0000, 0.0000, 0.5000) (multiplicity 3)
Hg (0.0000, 0.0000, 0.2564) (multiplicity 6)

Properties
DFT formation energy: 0.3911 eV per atom
size of the total moment: 0.79 μB/cell

A plane-wave DFT calculation with PBE-GGA was carried out for an optimized crystal structure of RbAlH8N4.

abc: 7.537 7.537 5.093
angles: 90.00 90.00 90.00
Space group P4/n (No. 85, origin choice 2)
Asymmetric unit:
Rb (0.250, 0.250, 0.136) (multiplicity 2)
Al (0.250, 0.750, 0.500) (multiplicity 2)
H (0.027, 0.412, 0.680) (multiplicity 8)
H (0.118, 0.878, 0.913) (multiplicity 8)
N (0.079, 0.663, 0.265) (multiplicity 8)

Properties
size of the total moment: 0.00 μB/cell
final energy: -5.154 eV per atom

A plane-wave DFT calculation with PBE-GGA was carried out for an optimized crystal structure of In2Ga2Pb.

abc: 8.388 8.388 3.550
angles: 90.00 90.00 90.00
Space group P4/mbm (No. 127)
Asymmetric unit:
In (0.176, 0.324, 0.000) (multiplicity 4)
Ga (0.121, 0.621, 0.500) (multiplicity 4)
Pb (0.000, 0.000, 0.500) (multiplicity 2)

Properties
DFT formation energy: 0.0536 eV per atom
size of the total moment: 0.00 μB/cell

A plane-wave DFT calculation with PBE-GGA was carried out for an optimized crystal structure of K4MgCd4.

abc: 6.062 6.062 20.280
angles: 90.00 90.00 90.00
Space group I-42m (No. 121)
Asymmetric unit:
K (0.230, 0.230, 0.160) (multiplicity 8)
Mg (0.000, 0.000, 0.000) (multiplicity 2)
Cd (0.187, 0.187, 0.448) (multiplicity 8)

Properties
DFT formation energy: 0.0347 eV per atom
size of the total moment: 0.00 μB/cell

A plane-wave DFT calculation with PBE-GGA was carried out for an optimized crystal structure of Re3RuC.

abc: 4.061 4.061 4.061
angles: 90.00 90.00 90.00
Space group Pm-3m (No. 221)
Asymmetric unit:
Re (0.000, 0.000, 0.500) (multiplicity 3)
Ru (0.500, 0.500, 0.500) (multiplicity 1)
C (0.000, 0.000, 0.000) (multiplicity 1)

Properties
DFT formation energy: 0.3154 eV per atom
size of the total moment: 0.00 μB/cell

A plane-wave DFT calculation with PBE-GGA was carried out for an optimized crystal structure of Ca2Ni12P3Rh.

abc: 8.4103 8.4103 11.7377
angles: 90.00 90.00 120.00
Space group R-3m (No. 166, hexagonal axes)
Asymmetric unit:
Ca (0.0000, 0.0000, 0.1273) (multiplicity 6)
Ni (0.9996, 0.4998, 0.1808) (multiplicity 18)
Ni (0.0351, 0.5175, 0.3854) (multiplicity 18)
P (0.0000, 0.5000, 0.0000) (multiplicity 9)
Rh (0.0000, 0.0000, 0.5000) (multiplicity 3)

Properties
DFT formation energy: 0.0382 eV per atom
size of the total moment: 0.00 μB/cell

A plane-wave DFT calculation with PBE-GGA was carried out for an optimized crystal structure of La2Be3Ni12Pt.

abc: 5.1899 5.1899 31.7629
angles: 90.00 90.00 120.00
Space group R-3m (No. 166, hexagonal axes)
Asymmetric unit:
La (0.0000, 0.0000, 0.1376) (multiplicity 6)
Be (0.0000, 0.5000, 0.0000) (multiplicity 9)
Ni (0.0082, 0.5041, 0.0995) (multiplicity 18)
Ni (0.0254, 0.5127, 0.6245) (multiplicity 18)
Pt (0.0000, 0.0000, 0.5000) (multiplicity 3)

Properties
DFT formation energy: -0.0136 eV per atom
size of the total moment: 0.00 μB/cell

A plane-wave DFT calculation with PBE-GGA was carried out for an optimized crystal structure of ScNbNi.

abc: 4.350 5.328 5.570
angles: 95.47 112.91 114.03
Space group P1 (No. 1)
Asymmetric unit:
Sc (0.000, 0.000, 0.000) (multiplicity 1)
Sc (0.379, 0.636, 0.122) (multiplicity 1)
Nb (0.151, 0.731, 0.570) (multiplicity 1)
Nb (0.509, 0.360, 0.656) (multiplicity 1)
Ni (0.732, 0.322, 0.142) (multiplicity 1)
Ni (0.809, 0.096, 0.517) (multiplicity 1)

Properties
DFT formation energy: -0.1047 eV per atom
size of the total moment: 0.00 μB/cell

A plane-wave DFT calculation with PBE-GGA was carried out for an optimized crystal structure of BaNbN2.

abc: 9.456 9.448 13.256
angles: 90.00 99.90 90.00
Space group C2/c (No. 15)
Asymmetric unit:
Ba (0.037, 0.193, 0.387) (multiplicity 8)
Ba (0.217, 0.437, 0.102) (multiplicity 8)
Nb (0.098, 0.190, 0.662) (multiplicity 8)
Nb (0.141, 0.430, 0.836) (multiplicity 8)
N (0.000, 0.062, 0.750) (multiplicity 4)
N (0.000, 0.440, 0.250) (multiplicity 4)
N (0.047, 0.307, 0.934) (multiplicity 8)
N (0.212, 0.063, 0.580) (multiplicity 8)
N (0.248, 0.310, 0.749) (multiplicity 8)

Properties
E_form (uncorrected): -848 meV/atom
size of the total moment: 0.01 μB/cell

A plane-wave DFT calculation with PBE-GGA was carried out for an optimized crystal structure of CeY2HfAs4.

abc: 7.039 4.065 7.039
angles: 90.00 109.28 90.00
Space group P2/m (No. 10)
Asymmetric unit:
Ce (0.000, 0.000, 0.000) (multiplicity 1)
Y (0.500, 0.000, 0.500) (multiplicity 1)
Y (0.500, 0.500, 0.000) (multiplicity 1)
Hf (0.000, 0.500, 0.500) (multiplicity 1)
As (0.238, 0.000, 0.735) (multiplicity 2)
As (0.246, 0.500, 0.260) (multiplicity 2)

Properties
DFT formation energy: -1.3645 eV per atom
size of the total moment: 0.66 μB/cell

A plane-wave DFT calculation with PBE-GGA was carried out for an optimized crystal structure of PaHgBi3.

abc: 13.739 11.411 8.334
angles: 90.00 90.59 90.00
Space group C2/c (No. 15)
Asymmetric unit:
Pa (0.190, 0.077, 0.119) (multiplicity 8)
Hg (0.000, 0.276, 0.750) (multiplicity 4)
Hg (0.000, 0.366, 0.250) (multiplicity 4)
Bi (0.045, 0.117, 0.437) (multiplicity 8)
Bi (0.148, 0.463, 0.597) (multiplicity 8)
Bi (0.228, 0.178, 0.756) (multiplicity 8)

Properties
DFT formation energy: 0.0469 eV per atom
size of the total moment: 0.00 μB/cell

A plane-wave DFT calculation with PBE-GGA was carried out for an optimized crystal structure of FePt2I.

abc: 6.507 6.507 8.307
angles: 90.00 90.00 90.00
Space group I-42d (No. 122)
Asymmetric unit:
Fe (0.000, 0.000, 0.000) (multiplicity 4)
Pt (0.200, 0.250, 0.125) (multiplicity 8)
I (0.000, 0.000, 0.500) (multiplicity 4)

Properties
E_form (uncorrected): 831 meV/atom
size of the total moment: 0.00 μB/cell

A plane-wave DFT calculation with PBE-GGA was carried out for an optimized crystal structure of RbSrSbO3.

abc: 7.082 3.555 11.320
angles: 90.00 100.39 90.00
Space group P2_1/m (No. 11)
Asymmetric unit:
Rb (0.214, 0.250, 0.227) (multiplicity 2)
Sr (0.361, 0.750, 0.883) (multiplicity 2)
Sb (0.216, 0.250, 0.598) (multiplicity 2)
O (0.125, 0.250, 0.748) (multiplicity 2)
O (0.373, 0.750, 0.632) (multiplicity 2)
O (0.406, 0.750, 0.100) (multiplicity 2)

Properties
E_form (uncorrected): -1736 meV/atom
size of the total moment: 0.17 μB/cell

A plane-wave DFT calculation with PBE-GGA was carried out for an optimized crystal structure of Rb3CeTm2Se6.

abc: 7.400 12.819 8.362
angles: 90.00 107.18 90.00
Space group C2/m (No. 12)
Asymmetric unit:
Rb (0.000, 0.000, 0.000) (multiplicity 2)
Rb (0.000, 0.335, 0.000) (multiplicity 4)
Ce (0.000, 0.500, 0.500) (multiplicity 2)
Tm (0.000, 0.167, 0.500) (multiplicity 4)
Se (0.220, 0.000, 0.695) (multiplicity 4)
Se (0.238, 0.327, 0.695) (multiplicity 8)

Properties
E_form (uncorrected): -1697 meV/atom
size of the total moment: 2.02 μB/cell

A plane-wave DFT calculation with PBE-GGA was carried out for an optimized crystal structure of Sm6YHo8.

abc: 9.0713 9.0713 20.7324
angles: 90.00 90.00 120.00
Space group R-3 (No. 148, hexagonal axes)
Asymmetric unit:
Sm (0.0631, 0.8152, 0.2094) (multiplicity 18)
Y (0.0000, 0.0000, 0.5000) (multiplicity 3)
Ho (0.0000, 0.0000, 0.0767) (multiplicity 6)
Ho (0.0811, 0.5276, 0.3079) (multiplicity 18)

Properties
DFT formation energy: 0.1253 eV per atom
size of the total moment: 0.00 μB/cell

no.,volume (A^3/atom)
1,27.3
2,12.6
3,14.9
4,23.0
5,23.9
6,22.5
7,10.3
8,25.0
9,41.4
10,13.4
11,13.3
12,13.7
13,17.3
14,18.2
15,23.8
16,32.7
17,22.0
18,23.4
19,31.6
20,32.8